(1)
! GGA-PBE Rb3CaTl, relaxed; values from VASP
! DFT formation energy   128.5 kJ/mol of formula units
! Space group   Pm-3m
! Energy relative to the lowest polymorph listed for this composition   0 meV/atom
&SYSTEM
  ibrav = 0, nat = 5, ntyp = 3
/
ATOMIC_SPECIES
Rb 85.47 Rb.upf
Ca 40.08 Ca.upf
Tl 204.38 Tl.upf
CELL_PARAMETERS angstrom
7.089 0.000 0.000
0.000 7.089 0.000
0.000 0.000 7.089
ATOMIC_POSITIONS crystal
Rb 0.000 0.000 0.500
Rb 0.000 0.500 0.000
Rb 0.500 0.000 0.000
Ca 0.500 0.500 0.500
Tl 0.000 0.000 0.000

(2)
! GGA-PBE Sr2H6PdPt, relaxed; values from VASP
! Final energy   -4.025 eV/atom
! Space group   Fmmm
&SYSTEM
  ibrav = 0, nat = 10, ntyp = 4
/
ATOMIC_SPECIES
Sr 87.62 Sr.upf
H 1.01 H.upf
Pd 106.42 Pd.upf
Pt 195.08 Pt.upf
CELL_PARAMETERS angstrom
0.000 3.862 3.872
3.803 0.000 3.872
3.803 3.862 0.000
ATOMIC_POSITIONS crystal
Sr 0.250 0.250 0.250
Sr 0.750 0.750 0.750
H 0.238 0.762 0.238
H 0.241 0.241 0.759
H 0.242 0.758 0.758
H 0.758 0.242 0.242
H 0.759 0.759 0.241
H 0.762 0.238 0.762
Pd 0.500 0.500 0.500
Pt 0.000 0.000 0.000

(3)
! GGA-PBE Pr2SnBi, relaxed; values from VASP
! DFT formation energy   -249.1 kJ/mol of formula units
! Space group   R3m
! Energy relative to the lowest polymorph listed for this composition   210 meV/atom
&SYSTEM
  ibrav = 0, nat = 4, ntyp = 3
/
ATOMIC_SPECIES
Pr 140.91 Pr.upf
Sn 118.71 Sn.upf
Bi 208.98 Bi.upf
CELL_PARAMETERS angstrom
2.200 1.270 8.355
-2.200 1.270 8.355
0.000 -2.541 8.355
ATOMIC_POSITIONS crystal
Pr 0.000 0.000 0.000
Pr 0.173 0.173 0.173
Sn 0.418 0.418 0.418
Bi 0.588 0.588 0.588